First-principles (PBE) data for Sb3BrO3 after structural relaxation, as listed in Alexandria via LeMat-Bulk.

Output
The spin magnetization is 0.00 μB per formula unit. The raw formation energy is -0.878 eV per atom.

The structure in CIF format:
```
data_Sb3BrO3
_cell_length_a 6.8123
_cell_length_b 6.8123
_cell_length_c 23.1579
_cell_angle_alpha 90.00
_cell_angle_beta 90.00
_cell_angle_gamma 120.00
_symmetry_space_group_name_H-M 'R -3'
_symmetry_Int_Tables_number 148
_symmetry_space_group_name_Hall '-R 3'
loop_
_atom_site_label
_atom_site_fract_x
_atom_site_fract_y
_atom_site_fract_z
_atom_site_occupancy
Sb1 0.0221 0.2941 0.3934 1
Br1 0.0000 0.0000 0.1794 1
O1 0.0197 0.7429 0.6964 1
```

***

First-principles (PBE) data for SbBrO2 after structural relaxation, as listed in Alexandria via LeMat-Bulk.

Output
The spin magnetization is 0.73 μB per formula unit. The offset from the most stable computed form comes out at 1017 meV/atom. The raw formation energy is 0.393 eV per atom.

The structure in CIF format:
```
data_SbBrO2
_cell_length_a 3.3046
_cell_length_b 3.3046
_cell_length_c 22.0337
_cell_angle_alpha 90.00
_cell_angle_beta 90.00
_cell_angle_gamma 120.00
_symmetry_space_group_name_H-M 'R -3 m'
_symmetry_Int_Tables_number 166
_symmetry_space_group_name_Hall '-R 3 2"'
loop_
_atom_site_label
_atom_site_fract_x
_atom_site_fract_y
_atom_site_fract_z
_atom_site_occupancy
Sb1 0.0000 0.0000 0.0000 1
Br1 0.0000 0.0000 0.5000 1
O1 0.0000 0.0000 0.0897 1
```

***

First-principles (PBE) data for SbBrO3 after structural relaxation, as listed in Alexandria via LeMat-Bulk.

Output
The spin magnetization is 0.00 μB per formula unit. The raw formation energy is 0.465 eV per atom.

The structure in CIF format:
```
data_SbBrO3
_cell_length_a 4.095
_cell_length_b 4.095
_cell_length_c 4.095
_cell_angle_alpha 90.00
_cell_angle_beta 90.00
_cell_angle_gamma 90.00
_symmetry_space_group_name_H-M 'P m -3 m'
_symmetry_Int_Tables_number 221
_symmetry_space_group_name_Hall '-P 4 2 3'
loop_
_atom_site_label
_atom_site_fract_x
_atom_site_fract_y
_atom_site_fract_z
_atom_site_occupancy
Sb1 0.000 0.000 0.000 1
Br1 0.500 0.500 0.500 1
O1 0.000 0.500 0.500 1
```

***

First-principles (PBE) data for SbBr3O after structural relaxation, as listed in Alexandria via LeMat-Bulk.

Output
The spin magnetization is 1.99 μB per formula unit. The offset from the most stable computed form comes out at 0 meV/atom. The raw formation energy is 0.264 eV per atom.

The structure in CIF format:
```
data_SbBr3O
_cell_length_a 5.570
_cell_length_b 5.570
_cell_length_c 5.570
_cell_angle_alpha 90.00
_cell_angle_beta 90.00
_cell_angle_gamma 90.00
_symmetry_space_group_name_H-M 'P m -3 m'
_symmetry_Int_Tables_number 221
_symmetry_space_group_name_Hall '-P 4 2 3'
loop_
_atom_site_label
_atom_site_fract_x
_atom_site_fract_y
_atom_site_fract_z
_atom_site_occupancy
Sb1 0.000 0.000 0.000 1
Br1 0.000 0.000 0.500 1
O1 0.500 0.500 0.500 1
```